Density functional theory data (PBE-GGA) for crystalline CeSmGeTe at its relaxed geometry.

Output
- crystal system = trigonal
- DOS at the Fermi energy (states/eV per cell) = 18.5
- energy (eV/atom) = -5.7546
- total moment (μB per formula unit) = 0.685

```
data_CeSmGeTe
_cell_length_a 4.3407
_cell_length_b 4.3407
_cell_length_c 21.6609
_cell_angle_alpha 90.00
_cell_angle_beta 90.00
_cell_angle_gamma 120.00
_symmetry_space_group_name_H-M 'R 3 m'
_symmetry_Int_Tables_number 160
_symmetry_space_group_name_Hall 'R 3 -2"'
loop_
_atom_site_label
_atom_site_fract_x
_atom_site_fract_y
_atom_site_fract_z
_atom_site_occupancy
Ce1 0.0000 0.0000 0.0000 1
Sm1 0.0000 0.0000 0.5168 1
Ge1 0.0000 0.0000 0.2595 1
Te1 0.0000 0.0000 0.7588 1
```